Run i
The following is a DFT calculation (GGA-PBE) of a geometry-optimized Tm2ThZr structure.

Properties
Size of the total moment ... 0.00 μB per formula unit
Calculated volume ... 114.3 Å³/f.u.

abc: 7.704 7.704 7.704
angles: 90.00 90.00 90.00
Space group Fm-3m (No. 225)
Symmetry-distinct sites (fractional):
Tm 0.250 0.250 0.250 x8
Th 0.000 0.000 0.000 x4
Zr 0.000 0.000 0.500 x4


Run ii
The following is a DFT calculation (GGA-PBE) of a geometry-optimized Tm2ThZr structure.

Properties
Size of the total moment ... 0.00 μB per formula unit
Calculated volume ... 114.1 Å³/f.u.

abc: 3.4239 3.4239 33.7198
angles: 90.00 90.00 120.00
Space group R-3m (No. 166, hexagonal axes)
Symmetry-distinct sites (fractional):
Tm 0.0000 0.0000 0.2453 x6
Th 0.0000 0.0000 0.0000 x3
Zr 0.0000 0.0000 0.5000 x3


Run iii
The following is a DFT calculation (GGA-PBE) of a geometry-optimized Tm2ThZr structure.

Properties
Size of the total moment ... 0.00 μB per formula unit
Calculated volume ... 114.6 Å³/f.u.

abc: 4.033 4.033 7.046
angles: 90.00 90.00 90.00
Space group P4/mmm (No. 123)
Symmetry-distinct sites (fractional):
Tm 0.000 0.000 0.233 x2
Th 0.500 0.500 0.500 x1
Zr 0.500 0.500 0.000 x1


Run iv
The following is a DFT calculation (GGA-PBE) of a geometry-optimized Tm2ThZr structure.

Properties
Size of the total moment ... 0.00 μB per formula unit
Calculated volume ... 114.3 Å³/f.u.

abc: 3.4587 3.4587 33.0938
angles: 90.00 90.00 120.00
Space group R3m (No. 160, hexagonal axes)
Symmetry-distinct sites (fractional):
Tm 0.0000 0.0000 0.0000 x3
Tm 0.0000 0.0000 0.1582 x3
Th 0.0000 0.0000 0.5797 x3
Zr 0.0000 0.0000 0.7454 x3


Among the structures above, stability is smallest for run i.